Compound: Na4Tl6In
Source: the Alexandria database
Functional: PBE
Structure: optimized geometry

For the total energy, the calculation gives -0.15116 Ry/atom. As for the magnetization: 0.00 μB per cell.

The space group is I-42m (No. 121) and the conventional cell measures 6.371, 6.371 and 16.772 Å, with angles of 90.00, 90.00 and 90.00 degrees. Symmetry generates all atoms from Na at (0.197, 0.197, 0.172), Tl at (0.000, 0.500, 0.000), Tl at (0.188, 0.188, 0.367) and In at (0.000, 0.000, 0.000).